HOs3O | PBE-GGA | optimized geometry

Summary:
SG: Pm-3m, No. 221
E: -7.018 eV per atom
M_tot: 0.0 μB per formula unit

a = 3.867 Å, b = 3.867 Å, c = 3.867 Å
α = 90.00°, β = 90.00°, γ = 90.00°
Positions (direct):
Os  0.000  0.000  0.500
Os  0.500  0.000  0.000
Os  0.000  0.500  0.000
H  0.000  0.000  0.000
O  0.500  0.500  0.500